Entry 1:
Here is a relaxed BaLi2GeIr crystal from Alexandria. Energies are from GGA-PBE.

a b c (Å): 4.975 4.975 4.736
angles (deg): 90.00 90.00 90.00
Atoms (fractional coordinates):
Li: 0.000 0.500 0.000
Ir: 0.000 0.000 0.000
Ba: 0.500 0.500 0.500
Li: 0.500 0.000 0.000
Ge: 0.000 0.000 0.500

As for the space group: P4/mmm. As for the electronic total energy: -20.84 eV per cell.


Entry 2:
Here is a relaxed BaLiGe2Ir crystal from Alexandria. Energies are from GGA-PBE.

a b c (Å): 4.298 4.298 6.713
angles (deg): 108.67 108.67 90.00
Atoms (fractional coordinates):
Ba: 0.000 0.000 0.000
Ir: 0.250 0.750 0.500
Ge: 0.354 0.354 0.708
Li: 0.750 0.250 0.500
Ge: 0.646 0.646 0.292

For the excess energy over the best structure of this formula in the dataset, the calculation gives 0 meV per atom. As for the space group: I-4m2.


Entry 3:
Here is a relaxed BaGeMo2Ir crystal from Alexandria. Energies are from GGA-PBE.

a b c (Å): 4.859 6.033 4.859
angles (deg): 90.00 90.00 90.00
Each line ends with the local moment (μB).
Atoms (fractional coordinates):
Mo: 0.500 0.000 0.000  1.54
Ir: 0.000 0.000 0.000  -0.07
Mo: 0.000 0.000 0.500  1.37
Ge: 0.500 0.500 0.500  -0.31
Ba: 0.000 0.500 0.000  -0.06

As for the space group: P4/mmm. As for the electronic total energy: -30.95 eV per cell.


Entry 4:
Here is a relaxed Ba2NaGeIr crystal from Alexandria. Energies are from GGA-PBE.

a b c (Å): 6.262 6.262 4.773
angles (deg): 90.00 90.00 90.00
Atoms (fractional coordinates):
Ge: 0.000 0.000 0.500
Ir: 0.000 0.000 0.000
Ba: 0.000 0.500 0.000
Ba: 0.500 0.000 0.000
Na: 0.500 0.500 0.500

As for the space group: P4/mmm. As for the electronic total energy: -19.87 eV per cell.


Entry 5:
Here is a relaxed BaNaGeIr crystal from Alexandria. Energies are from GGA-PBE.

a b c (Å): 4.283 4.283 13.129
angles (deg): 90.00 90.00 90.00
Atoms (fractional coordinates):
Na: 0.750 0.250 0.500
Ge: 0.250 0.250 0.099
Ba: 0.750 0.750 0.215
Ba: 0.250 0.250 0.785
Ir: 0.250 0.750 0.000
Na: 0.250 0.750 0.500
Ge: 0.750 0.750 0.901
Ir: 0.750 0.250 0.000

As for the space group: P4/nmm. As for the electronic total energy: -36.54 eV per cell.


Entry 6:
Here is a relaxed Ba2GeIr3O12 crystal from Alexandria. Energies are from GGA-PBE.

a b c (Å): 7.048 7.048 7.048
angles (deg): 60.74 60.74 60.74
Atoms (fractional coordinates):
Ir: 0.000 0.500 0.000
Ge: 0.000 0.000 0.000
Ir: 0.500 0.000 0.000
O: 0.671 0.080 0.671
O: 0.080 0.671 0.671
O: 0.324 0.920 0.920
O: 0.329 0.920 0.329
O: 0.920 0.920 0.324
O: 0.329 0.329 0.920
Ba: 0.631 0.631 0.631
O: 0.676 0.080 0.080
Ba: 0.369 0.369 0.369
O: 0.920 0.324 0.920
Ir: 0.000 0.000 0.500
O: 0.080 0.080 0.676
O: 0.920 0.329 0.329
O: 0.080 0.676 0.080
O: 0.671 0.671 0.080

As for the space group: R-3m. As for the electronic total energy: -118.28 eV per cell.


no.,size of the total moment (μB/cell)
1,0.00
2,0.00
3,2.58
4,0.00
5,0.00
6,0.00